# PBE with a Hubbard U Li2PrMoF8, optimized geometry
data_Li2PrMoF8
_cell_length_a 4.132
_cell_length_b 5.144
_cell_length_c 7.513
_cell_angle_alpha 96.32
_cell_angle_beta 90.70
_cell_angle_gamma 94.85
_symmetry_space_group_name_H-M 'P -1'
_symmetry_Int_Tables_number 2
loop_
_symmetry_equiv_pos_as_xyz
'x,y,z'
'-x,-y,-z'
loop_
_atom_site_label
_atom_site_type_symbol
_atom_site_fract_x
_atom_site_fract_y
_atom_site_fract_z
Li1 Li 0.037 0.460 0.302
Pr1 Pr 0.500 0.000 0.000
Mo1 Mo 0.500 0.000 0.500
F1 F 0.059 0.252 0.056
F2 F 0.133 0.261 0.513
F3 F 0.358 0.760 0.254
F4 F 0.383 0.762 0.708
# Fermi-level density of states, states/eV/cell: 0.00
# Energy, eV per atom: -5.701